First-principles (PBE) data for crystalline Pm2Pt2Au at its relaxed geometry, as listed in Alexandria.

a b c (Å): 3.7944 7.7749 7.7749
angles (deg): 90.00 90.00 90.00
Fractional positions:
Pm  0.5000  0.1718  0.6718
Pm  0.5000  0.6718  0.8282
Pm  0.5000  0.8282  0.3282
Pm  0.5000  0.3282  0.1718
Pt  0.0000  0.3701  0.8701
Pt  0.0000  0.8701  0.6299
Pt  0.0000  0.6299  0.1299
Pt  0.0000  0.1299  0.3701
Au  0.0000  0.0000  0.0000
Au  0.0000  0.5000  0.5000

First-principles (PBE) data for crystalline Pm3Pt7Au2 at its relaxed geometry, as listed in Alexandria.

a b c (Å): 5.5084 5.5084 9.5152
angles (deg): 73.17 73.17 60.00
Fractional positions:
Pm  0.0000  0.0000  0.0000
Pm  0.8605  0.8605  0.4186
Pm  0.1395  0.1395  0.5814
Pt  0.5000  0.5000  0.5000
Pt  0.9179  0.4116  0.2589
Pt  0.4116  0.9179  0.2589
Pt  0.4116  0.4116  0.2589
Pt  0.0821  0.5884  0.7411
Pt  0.5884  0.5884  0.7411
Pt  0.5884  0.0821  0.7411
Au  0.6665  0.6665  0.0004
Au  0.3335  0.3335  0.9996

First-principles (PBE) data for crystalline Pm3Pt2Au at its relaxed geometry, as listed in Alexandria.

a b c (Å): 3.6282 3.6282 10.8250
angles (deg): 90.00 90.00 90.00
Fractional positions:
Pm  0.0000  0.0000  0.0000
Pm  0.0000  0.0000  0.6761
Pm  0.0000  0.0000  0.3239
Pt  0.5000  0.5000  0.8350
Pt  0.5000  0.5000  0.1650
Au  0.5000  0.5000  0.5000

## Properties
Energy above the lowest structure with this stoichiometry = 0 meV/atom

First-principles (PBE) data for crystalline Pm3PtAu2 at its relaxed geometry, as listed in Alexandria.

a b c (Å): 5.1496 8.1775 7.3436
angles (deg): 90.00 90.00 71.65
Fractional positions:
Pm  0.8301  0.3398  0.7599
Pm  0.5000  0.0000  0.2463
Pm  0.1699  0.6602  0.2401
Pm  0.8301  0.3398  0.2401
Pm  0.1699  0.6602  0.7599
Pm  0.5000  0.0000  0.7537
Pt  0.3421  0.3158  0.0000
Pt  0.6579  0.6842  0.0000
Au  0.0000  0.0000  0.0000
Au  0.0000  0.0000  0.5000
Au  0.3321  0.3358  0.5000
Au  0.6679  0.6642  0.5000

## Properties
Energy above the lowest structure with this stoichiometry = 0 meV/atom

First-principles (PBE) data for crystalline PmPtAu2 at its relaxed geometry, as listed in Alexandria.

a b c (Å): 4.3521 5.4919 7.7154
angles (deg): 90.00 90.00 113.27
Fractional positions:
Pm  0.0707  0.1404  0.2500
Pm  0.9293  0.8596  0.7500
Pt  0.7768  0.5506  0.2500
Pt  0.2232  0.4494  0.7500
Au  0.3693  0.7372  0.0576
Au  0.3693  0.7372  0.4424
Au  0.6307  0.2628  0.9424
Au  0.6307  0.2628  0.5576

## Properties
Energy above the lowest structure with this stoichiometry = 37 meV/atom

First-principles (PBE) data for crystalline Pm7Pt2Au2 at its relaxed geometry, as listed in Alexandria.

a b c (Å): 6.8761 7.2785 6.8761
angles (deg): 90.00 107.62 90.00
Fractional positions:
Pm  0.9998  0.2629  0.5003
Pm  0.5003  0.7371  0.9998
Pm  0.0002  0.7371  0.4997
Pm  0.4997  0.2629  0.0002
Pm  0.0000  0.0000  0.0000
Pm  0.5002  0.7434  0.4998
Pm  0.4998  0.2566  0.5002
Pt  0.7124  0.0000  0.2876
Pt  0.2876  0.0000  0.7124
Au  0.8130  0.5000  0.8130
Au  0.1870  0.5000  0.1870

First-principles (PBE) data for crystalline Pm4PtAu3 at its relaxed geometry, as listed in Alexandria.

a b c (Å): 3.8928 4.7209 11.0947
angles (deg): 90.00 90.00 90.00
Fractional positions:
Pm  0.5000  0.5000  0.3537
Pm  0.0000  0.5000  0.8707
Pm  0.0000  0.0000  0.1359
Pm  0.5000  0.0000  0.6387
Pt  0.5000  0.5000  0.0874
Au  0.0000  0.5000  0.5870
Au  0.0000  0.0000  0.4128
Au  0.5000  0.0000  0.9138

First-principles (PBE) data for crystalline PmPtAu11 at its relaxed geometry, as listed in Alexandria.

a b c (Å): 5.6110 7.2915 7.3752
angles (deg): 80.97 67.64 65.62
Fractional positions:
Pm  0.0000  0.0000  0.0000
Pt  0.5000  0.5000  0.0000
Au  0.2889  0.2134  0.2121
Au  0.7111  0.7866  0.7879
Au  0.4990  0.7866  0.2121
Au  0.5010  0.2134  0.7879
Au  0.3598  0.6510  0.6587
Au  0.6402  0.3490  0.3413
Au  0.9815  0.3490  0.6587
Au  0.0185  0.6510  0.3413
Au  0.0000  0.5000  0.0000
Au  0.5000  0.0000  0.5000
Au  0.0000  0.0000  0.5000

First-principles (PBE) data for crystalline Pm8Pt2Au at its relaxed geometry, as listed in Alexandria.

a b c (Å): 5.9644 7.9975 7.9975
angles (deg): 114.71 99.32 99.32
Fractional positions:
Pm  0.5785  0.3415  0.0887
Pm  0.5785  0.0887  0.3415
Pm  0.1766  0.3799  0.3799
Pm  0.9904  0.2269  0.7736
Pm  0.9904  0.7736  0.2269
Pm  0.8057  0.6302  0.6302
Pm  0.3903  0.9174  0.6651
Pm  0.3903  0.6651  0.9174
Pt  0.4901  0.7015  0.3050
Pt  0.4901  0.3050  0.7015
Au  0.1189  0.0039  0.0039

## Properties
Energy above the lowest structure with this stoichiometry = 101 meV/atom

First-principles (PBE) data for crystalline Pm3PtAu at its relaxed geometry, as listed in Alexandria.

a b c (Å): 4.7301 7.4580 15.6175
angles (deg): 90.00 90.00 90.00
Fractional positions:
Pm  0.2500  0.3682  0.5554
Pm  0.7500  0.8196  0.2250
Pm  0.7500  0.4871  0.8946
Pm  0.7500  0.9871  0.6054
Pm  0.7500  0.6318  0.4446
Pm  0.2500  0.0129  0.3946
Pm  0.2500  0.8682  0.9446
Pm  0.7500  0.3196  0.2750
Pm  0.2500  0.6804  0.7250
Pm  0.2500  0.1804  0.7750
Pm  0.7500  0.1318  0.0554
Pm  0.2500  0.5129  0.1054
Pt  0.2500  0.2694  0.9551
Pt  0.2500  0.7694  0.5449
Pt  0.7500  0.2306  0.4551
Pt  0.7500  0.7306  0.0449
Au  0.7500  0.8888  0.8068
Au  0.2500  0.1112  0.1932
Au  0.7500  0.3888  0.6932
Au  0.2500  0.6112  0.3068

## Properties
Energy above the lowest structure with this stoichiometry = 0 meV/atom

First-principles (PBE) data for crystalline Pm3PtAu at its relaxed geometry, as listed in Alexandria.

a b c (Å): 4.2000 7.3878 9.1762
angles (deg): 90.00 90.00 90.00
Fractional positions:
Pm  0.7500  0.7500  0.0594
Pm  0.2500  0.2500  0.9406
Pm  0.7500  0.9952  0.6730
Pm  0.7500  0.5048  0.6730
Pm  0.2500  0.0048  0.3270
Pm  0.2500  0.4952  0.3270
Pt  0.7500  0.7500  0.4114
Pt  0.2500  0.2500  0.5886
Au  0.7500  0.2500  0.1672
Au  0.2500  0.7500  0.8328

## Properties
Energy above the lowest structure with this stoichiometry = 42 meV/atom

First-principles (PBE) data for crystalline Pm2Pt15Au2 at its relaxed geometry, as listed in Alexandria.

a b c (Å): 7.0186 7.0186 7.0186
angles (deg): 83.72 83.72 83.72
Fractional positions:
Pm  0.3442  0.3442  0.3442
Pm  0.6558  0.6558  0.6558
Pt  0.5000  0.0000  0.0000
Pt  0.0000  0.0000  0.5000
Pt  0.0000  0.5000  0.0000
Pt  0.0000  0.6840  0.3160
Pt  0.6840  0.3160  0.0000
Pt  0.3160  0.0000  0.6840
Pt  0.3160  0.6840  0.0000
Pt  0.6840  0.0000  0.3160
Pt  0.0000  0.3160  0.6840
Pt  0.1649  0.6556  0.6556
Pt  0.6556  0.6556  0.1649
Pt  0.6556  0.1649  0.6556
Pt  0.8351  0.3444  0.3444
Pt  0.3444  0.3444  0.8351
Pt  0.3444  0.8351  0.3444
Au  0.1046  0.1046  0.1046
Au  0.8954  0.8954  0.8954

Number 1: E_form -498.9 kJ/mol of formula units, total magnetic moment 0.000 μB/atom. Number 2: E_form -1010.3 kJ/mol of formula units, total magnetic moment 0.000 μB/atom. Number 3: E_form -568.8 kJ/mol of formula units, total magnetic moment 0.000 μB/atom. Number 4: E_form -510.8 kJ/mol of formula units, total magnetic moment 0.000 μB/atom. Number 5: E_form -280.3 kJ/mol of formula units, total magnetic moment 0.000 μB/atom. Number 6: E_form -600.1 kJ/mol of formula units, total magnetic moment 0.000 μB/atom. Number 7: E_form -706.4 kJ/mol of formula units, total magnetic moment 0.000 μB/atom. Number 8: E_form -245.7 kJ/mol of formula units, total magnetic moment 0.000 μB/atom. Number 9: E_form -499.3 kJ/mol of formula units, total magnetic moment 0.000 μB/atom. Number 10: E_form -385.6 kJ/mol of formula units, total magnetic moment 0.000 μB/atom. Number 11: E_form -365.5 kJ/mol of formula units, total magnetic moment 0.000 μB/atom. Number 12: E_form -776.1 kJ/mol of formula units, total magnetic moment 0.000 μB/atom.